Entry 1:
# Zn2AgCl

An optimized crystal structure of Zn2AgCl (PBE, Alexandria via LeMat-Bulk).

Geometry as POSCAR:
```
Zn2AgCl
1.0
-3.362 1.637 3.030
-0.819 0.150 4.741
0.850 6.114 4.052
Cl Zn Ag
1 2 1
Direct
0.288 0.288 0.229
0.741 0.741 0.743
0.959 0.959 0.920
0.513 0.513 0.609
```

Results
- density (g/cm3) = 4.95
- ΔE_f (raw) (kJ/mol of formula units) = -45.0
- total magnetization (μB/cell) = 0.00
- polymorph energy (0 for the lowest one) (meV/atom) = 56

Entry 2:
# NaBPbO4

An optimized crystal structure of NaBPbO4 (PBE, Alexandria via LeMat-Bulk).

Geometry as POSCAR:
```
NaBPbO4
1.0
5.630 0.000 0.000
2.815 5.312 -0.136
2.815 1.489 5.101
Na Pb O B
2 2 8 2
Direct
0.000 0.000 0.500
0.500 0.000 0.500
0.000 0.000 0.000
0.000 0.500 0.500
0.713 0.263 0.763
0.274 0.672 0.780
0.726 0.720 0.828
0.287 0.737 0.237
0.726 0.328 0.220
0.274 0.280 0.172
0.739 0.737 0.237
0.261 0.263 0.763
0.348 0.402 0.902
0.652 0.598 0.098
```

Results
- density (g/cm3) = 6.59
- ΔE_f (raw) (kJ/mol of formula units) = -868.5
- total magnetization (μB/cell) = 0.00

Entry 3:
# SrAgGeAu2

An optimized crystal structure of SrAgGeAu2 (PBE, Alexandria via LeMat-Bulk).

Geometry as POSCAR:
```
SrAgGeAu2
1.0
-3.665 0.950 2.693
-2.254 -3.549 -1.815
4.948 -1.930 3.406
Ge Ag Sr Au
1 1 1 2
Direct
0.812 0.812 0.625
0.202 0.702 0.404
0.448 0.448 0.896
0.705 0.205 0.409
0.046 0.046 0.091
```

Results
- density (g/cm3) = 9.57
- formation energy (eV/atom) = -0.428
- total magnetization (μB/cell) = 0.00

Entry 4:
# GdUSi

An optimized crystal structure of GdUSi (PBE, Alexandria via LeMat-Bulk).

Geometry as POSCAR:
```
GdUSi
1.0
3.164 0.000 0.000
0.000 4.930 0.000
0.000 -2.465 4.270
Si U Gd
1 1 1
Direct
0.998 0.000 0.000
0.285 0.667 0.333
0.717 0.333 0.667
```

Results
- density (g/cm3) = 10.56
- ΔE_f (raw) (kJ/mol of formula units) = 47.2
- total magnetization (μB/cell) = 3.99

Entry 5:
# Pd6PtAu4

An optimized crystal structure of Pd6PtAu4 (PBE, Alexandria via LeMat-Bulk).

Geometry as POSCAR:
```
Pd6PtAu4
1.0
6.019 -2.392 -4.445
-4.171 6.470 1.568
-1.542 2.392 7.322
Pd Au Pt
6 4 1
Direct
0.500 0.000 0.500
0.627 0.183 0.183
0.000 0.445 0.817
0.500 0.500 0.000
0.000 0.817 0.445
0.373 0.555 0.555
0.000 0.023 0.631
0.391 0.369 0.369
0.609 0.977 0.977
0.000 0.631 0.023
0.000 0.000 0.000
```

Results
- density (g/cm3) = 13.79
- formation energy (eV/atom) = 0.182
- total magnetization (μB/cell) = 0.00

Entry 6:
# Li8Zn2Ni

An optimized crystal structure of Li8Zn2Ni (PBE, Alexandria via LeMat-Bulk).

Geometry as POSCAR:
```
Li8Zn2Ni
1.0
-3.760 -1.705 -1.216
1.948 -0.673 -5.081
4.060 -5.606 2.923
Zn Li Ni
2 8 1
Direct
0.772 0.373 0.545
0.228 0.627 0.455
0.409 0.565 0.818
0.958 0.247 0.917
0.042 0.753 0.083
0.144 0.173 0.287
0.591 0.435 0.182
0.325 0.103 0.651
0.675 0.897 0.349
0.856 0.827 0.713
0.500 0.000 0.000
```

Results
- density (g/cm3) = 2.40
- formation energy (eV/atom) = -0.035
- total magnetization (μB/cell) = 0.00

Entry 7:
# ErInPb6

An optimized crystal structure of ErInPb6 (PBE, Alexandria via LeMat-Bulk).

Geometry as POSCAR:
```
ErInPb6
1.0
-3.901 -2.318 -1.672
0.491 -3.330 3.473
-5.929 5.540 6.150
In Pb Er
1 6 1
Direct
0.000 0.000 0.500
0.500 0.500 0.000
0.000 0.500 0.754
0.500 0.000 0.754
0.500 0.000 0.246
0.500 0.500 0.500
0.000 0.500 0.246
0.000 0.000 0.000
```

Results
- density (g/cm3) = 10.64
- formation energy (eV/atom) = -0.089
- total magnetization (μB/cell) = 0.00

Entry 8:
# CaMnB3

An optimized crystal structure of CaMnB3 (PBE, Alexandria via LeMat-Bulk).

Geometry as POSCAR:
```
CaMnB3
1.0
3.897 0.000 0.000
0.000 3.897 0.000
0.000 0.000 3.897
B Ca Mn
3 1 1
Direct
0.000 0.500 0.000
0.500 0.000 0.000
0.000 0.000 0.500
0.500 0.500 0.500
0.000 0.000 0.000
```

Results
- density (g/cm3) = 3.58
- formation energy (eV/atom) = 0.135
- total magnetization (μB/cell) = 0.00
- polymorph energy (0 for the lowest one) (meV/atom) = 0

Entry 9:
# K8Au3Cl4

An optimized crystal structure of K8Au3Cl4 (PBE, Alexandria via LeMat-Bulk).

Geometry as POSCAR:
```
K8Au3Cl4
1.0
-5.202 -7.530 1.233
9.259 -0.653 0.604
0.062 6.664 6.489
Au Cl K
3 4 8
Direct
0.500 0.500 0.500
0.500 0.000 0.500
0.500 0.500 0.000
0.000 0.000 0.000
0.500 0.000 0.000
0.000 0.500 0.000
0.000 0.000 0.500
0.990 0.239 0.239
0.482 0.234 0.234
0.000 0.244 0.756
0.518 0.766 0.766
0.010 0.761 0.761
0.000 0.756 0.244
0.500 0.755 0.245
0.500 0.245 0.755
```

Results
- density (g/cm3) = 3.04
- ΔE_f (raw) (kJ/mol of formula units) = -1617.4
- total magnetization (μB/cell) = 0.57

Entry 10:
# Li2CoIr

An optimized crystal structure of Li2CoIr (PBE, Alexandria via LeMat-Bulk).

Geometry as POSCAR:
```
Li2CoIr
1.0
-0.252 -2.697 5.986
5.409 -3.481 -1.340
3.913 -1.340 3.167
Li Ir Co
4 2 2
Direct
0.875 0.860 0.750
0.610 0.125 0.250
0.375 0.390 0.750
0.140 0.625 0.250
0.750 0.250 0.500
0.000 0.000 0.000
0.250 0.750 0.500
0.500 0.500 0.000
```

Results
- density (g/cm3) = 8.65
- formation energy (eV/atom) = 0.510
- total magnetization (μB/cell) = 0.00
- polymorph energy (0 for the lowest one) (meV/atom) = 575

Entry 11:
# MgAuSN2

An optimized crystal structure of MgAuSN2 (PBE, Alexandria via LeMat-Bulk).

Geometry as POSCAR:
```
MgAuSN2
1.0
-1.925 -3.457 0.222
1.491 -1.056 -3.517
4.272 -2.220 2.478
Mg Au N S
1 1 2 1
Direct
0.000 0.000 0.000
0.500 0.500 0.500
0.500 0.000 0.000
0.000 0.500 0.000
0.000 0.000 0.500
```

Results
- density (g/cm3) = 5.49
- ΔE_f (raw) (kJ/mol of formula units) = 673.3
- total magnetization (μB/cell) = 3.98
- polymorph energy (0 for the lowest one) (meV/atom) = 160

Entry 12:
# CaBeAs2

An optimized crystal structure of CaBeAs2 (PBE, Alexandria via LeMat-Bulk).

Geometry as POSCAR:
```
CaBeAs2
1.0
3.863 0.071 0.000
-0.079 3.863 0.000
-1.892 -1.967 10.388
Ca As Be
2 4 2
Direct
0.117 0.117 0.228
0.890 0.890 0.772
0.511 0.966 0.000
0.966 0.511 0.000
0.319 0.319 0.630
0.689 0.689 0.370
0.754 0.254 0.500
0.254 0.754 0.500
```

Results
- density (g/cm3) = 4.26
- formation energy (eV/atom) = -0.658
- total magnetization (μB/cell) = 0.00

Number 1: DOS(E_F) 0.7 states/eV per cell. Number 2: DOS(E_F) 2.1 states/eV per cell. Number 3: DOS(E_F) 2.5 states/eV per cell. Number 4: DOS(E_F) 6.2 states/eV per cell. Number 5: DOS(E_F) 11.7 states/eV per cell. Number 6: DOS(E_F) 4.8 states/eV per cell. Number 7: DOS(E_F) 5.6 states/eV per cell. Number 8: DOS(E_F) 0.6 states/eV per cell. Number 9: DOS(E_F) 2.5 states/eV per cell. Number 10: DOS(E_F) 9.5 states/eV per cell. Number 11: DOS(E_F) 2.3 states/eV per cell. Number 12: DOS(E_F) 0.5 states/eV per cell.